one | 4
Lattice="0.0000 3.3041 3.3041 3.3041 0.0000 3.3041 3.3041 3.3041 0.0000" Properties=species:S:1:pos:R:3 comment="ScGa2F, relaxed, DFT PBE" magmom_total_mub_per_atom=0.000 pbc="T T T"
Sc 0.0000 0.0000 0.0000
Ga 1.6521 1.6521 1.6521
Ga 4.9562 4.9562 4.9562
F 3.3041 3.3041 3.3041

two | 8
Lattice="-4.3189 4.3189 2.0920 4.3189 -4.3189 2.0920 4.3189 4.3189 -2.0920" Properties=species:S:1:pos:R:3 comment="ScGa2F, relaxed, DFT PBE" magmom_total_mub_per_atom=0.000 pbc="T T T"
Sc 0.0000 0.0000 0.0000
Sc 0.0000 4.3189 1.0460
Ga 2.1594 2.8101 -0.5230
Ga 5.8276 2.1594 0.5230
Ga 2.1594 1.5088 1.5690
Ga -1.5088 2.1594 2.6150
F 4.3189 0.0000 1.0460
F 0.0000 0.0000 2.0920

Which is most stable? The ranking, best first, is two, one.